Density functional theory data (PBE) for crystalline Ta2CrBr2 at its relaxed geometry.

The uncorrected formation energy is 3.579 eV per formula unit. The value obtained for the density of states at the Fermi level is 8.32 states/eV per cell.

a = 6.646 Å, b = 6.646 Å, c = 5.070 Å
α = 90.00°, β = 90.00°, γ = 90.00°
Fractional coordinates of all 10 atoms:
Cr 0.000 0.000 0.000
Cr 0.500 0.500 0.000
Br 0.319 0.819 0.500
Br 0.819 0.681 0.500
Br 0.681 0.181 0.500
Br 0.181 0.319 0.500
Ta 0.341 0.841 0.000
Ta 0.841 0.659 0.000
Ta 0.659 0.159 0.000
Ta 0.159 0.341 0.000